## TaAs2Au (GGA-PBEsol)

Data for TaAs2Au after structural relaxation.

* DFT formation energy: 0.15 eV per atom
* raw total energy: -52.17 eV per cell

a b c (Å): 6.073 8.776 2.953
angles (deg): 90.00 118.12 90.00
Space group C2/m (No. 12)
One atom of each set of equivalent atoms:
Ta (0.000, 0.000, 0.000)
As (0.250, 0.250, 0.500)
Au (0.000, 0.500, 0.000)

=====

## TaAs2Au (GGA-PBEsol)

Data for TaAs2Au after structural relaxation.

* DFT formation energy: -0.10 eV per atom
* raw total energy: -27.10 eV per cell

a b c (Å): 3.373 3.363 6.021
angles (deg): 90.00 93.06 90.00
Space group P2/m (No. 10)
One atom of each set of equivalent atoms:
Ta (0.000, 0.000, 0.000)
As (0.473, 0.500, 0.773)
Au (0.000, 0.000, 0.500)